A geometry-optimized NbCr3P6O24 structure. Source: the Alexandria database, functional GGA+U.

Structure (POSCAR):
```
NbCr3P6O24
1.0
4.3065 2.4864 7.3111
-4.3065 2.4864 7.3111
0.0000 -4.9728 7.3111
Nb Cr P O
1 3 6 24
Direct
0.0000 0.0000 0.0000
0.2185 0.2185 0.2185
0.5044 0.5044 0.5044
0.7192 0.7192 0.7192
0.1088 0.4019 0.8272
0.3360 0.8940 0.6018
0.4019 0.8272 0.1088
0.6018 0.3360 0.8940
0.8272 0.1088 0.4019
0.8940 0.6018 0.3360
0.0032 0.1274 0.3744
0.0624 0.4176 0.3287
0.0671 0.2351 0.8609
0.1274 0.3744 0.0032
0.1453 0.9404 0.7657
0.2351 0.8609 0.0671
0.2881 0.4163 0.6507
0.3287 0.0624 0.4176
0.3524 0.7183 0.5905
0.3744 0.0032 0.1274
0.4163 0.6507 0.2881
0.4176 0.3287 0.0624
0.4942 0.8642 0.6506
0.5905 0.3524 0.7183
0.5901 0.7853 0.9460
0.6507 0.2881 0.4163
0.6506 0.4942 0.8642
0.7183 0.5905 0.3524
0.7657 0.1453 0.9404
0.7853 0.9460 0.5901
0.8609 0.0671 0.2351
0.8642 0.6506 0.4942
0.9404 0.7657 0.1453
0.9460 0.5901 0.7853
```

Summary:
E   -7.412 eV/atom
Total magnetic moment   0.1451 μB/atom